[1]
Material: MnInRe2
Method: DFT, meta-GGA SCAN
State: PBEsol geometry

It has space group I4/mmm (No. 139), with a = 3.802 Å, b = 3.802 Å, c = 8.235 Å, α = 90.00°, β = 90.00° and γ = 90.00°. The inequivalent atoms are Mn at (0.000, 0.000, 0.000), In at (0.000, 0.000, 0.500) and Re at (0.000, 0.500, 0.250).

[2]
Material: MnInRe
Method: DFT, meta-GGA SCAN
State: PBEsol geometry

It has space group F-43m (No. 216), with a = 5.995 Å, b = 5.995 Å, c = 5.995 Å, α = 90.00°, β = 90.00° and γ = 90.00°. The inequivalent atoms are Mn at (0.000, 0.000, 0.000), In at (0.000, 0.000, 0.500) and Re at (0.250, 0.250, 0.750).

The polymorph energy (0 for the lowest one) is 0.000 eV per atom.

[3]
Material: Mn2InRe
Method: DFT, meta-GGA SCAN
State: PBEsol geometry

It has space group C2/m (No. 12), with a = 8.529 Å, b = 2.836 Å, c = 4.926 Å, α = 90.00°, β = 98.75° and γ = 90.00°. The inequivalent atoms are Mn at (0.246, 0.000, 0.219), In at (0.000, 0.000, 0.500) and Re at (0.000, 0.500, 0.000).

[4]
Material: Mn2InRe
Method: DFT, meta-GGA SCAN
State: PBEsol geometry

It has space group Imm2 (No. 44), with a = 2.918 Å, b = 4.380 Å, c = 8.824 Å, α = 90.00°, β = 90.00° and γ = 90.00°. The inequivalent atoms are Mn at (0.000, 0.000, 0.000), Mn at (0.000, 0.500, 0.270), In at (0.000, 0.000, 0.506) and Re at (0.000, 0.500, 0.731).

[5]
Material: MnInRh
Method: DFT, meta-GGA SCAN
State: PBEsol geometry

It has space group F-43m (No. 216), with a = 6.065 Å, b = 6.065 Å, c = 6.065 Å, α = 90.00°, β = 90.00° and γ = 90.00°. The inequivalent atoms are Mn at (0.000, 0.000, 0.000), In at (0.250, 0.250, 0.750) and Rh at (0.000, 0.000, 0.500).

[6]
Material: MnInRh
Method: DFT, meta-GGA SCAN
State: PBEsol geometry

It has space group P3m1 (No. 156), with a = 2.9593 Å, b = 2.9593 Å, c = 6.3473 Å, α = 90.00°, β = 90.00° and γ = 120.00°. The inequivalent atoms are Mn at (0.0000, 0.0000, 0.0000), In at (0.6667, 0.3333, 0.3583) and Rh at (0.3333, 0.6667, 0.7018).

[7]
Material: MnInRh2
Method: DFT, meta-GGA SCAN
State: PBEsol geometry

It has space group P4/mmm (No. 123), with a = 4.330 Å, b = 4.330 Å, c = 3.155 Å, α = 90.00°, β = 90.00° and γ = 90.00°. The inequivalent atoms are Mn at (0.000, 0.000, 0.000), In at (0.500, 0.500, 0.000) and Rh at (0.000, 0.500, 0.500).

[8]
Material: MnInRh2
Method: DFT, meta-GGA SCAN
State: PBEsol geometry

It has space group P2/m (No. 10), with a = 4.542 Å, b = 2.876 Å, c = 4.840 Å, α = 90.00°, β = 109.79° and γ = 90.00°. The inequivalent atoms are Mn at (0.000, 0.000, 0.000), In at (0.000, 0.500, 0.500), Rh at (0.500, 0.000, 0.500) and Rh at (0.500, 0.500, 0.000).

no.,DFT formation energy (meV per atom)
1,345
2,782
3,235
4,178
5,108
6,-117
7,-519
8,-264